BaMo2N | PBE | optimized geometry

CIF file:
```
data_BaMo2N
_cell_length_a 6.379
_cell_length_b 6.379
_cell_length_c 6.380
_cell_angle_alpha 60.01
_cell_angle_beta 60.01
_cell_angle_gamma 90.00
_symmetry_space_group_name_H-M 'P 1'
_symmetry_Int_Tables_number 1
loop_
_symmetry_equiv_pos_as_xyz
'x,y,z'
loop_
_atom_site_label
_atom_site_type_symbol
_atom_site_fract_x
_atom_site_fract_y
_atom_site_fract_z
Mo1 Mo 0.375 0.125 0.250
Ba1 Ba 0.750 0.250 0.500
N1 N 0.500 0.500 0.000
Mo2 Mo 0.875 0.625 0.750
N2 N 0.250 0.750 0.500
Ba2 Ba 0.000 0.000 0.000
Mo3 Mo 0.375 0.625 0.250
Mo4 Mo 0.375 0.625 0.750
```

mass density = 6.209 g/cm³
symmetry = Fd-3m
energy relative to the elements, uncorrected = 1.56 eV per formula unit

***

Ba3MoN | PBE | optimized geometry

CIF file:
```
data_Ba3MoN
_cell_length_a 5.629
_cell_length_b 5.629
_cell_length_c 5.629
_cell_angle_alpha 90.00
_cell_angle_beta 90.00
_cell_angle_gamma 90.00
_symmetry_space_group_name_H-M 'P 1'
_symmetry_Int_Tables_number 1
loop_
_symmetry_equiv_pos_as_xyz
'x,y,z'
loop_
_atom_site_label
_atom_site_type_symbol
_atom_site_fract_x
_atom_site_fract_y
_atom_site_fract_z
Ba1 Ba 0.000 0.500 0.000
Mo1 Mo 0.500 0.500 0.500
Ba2 Ba 0.500 0.000 0.000
Ba3 Ba 0.000 0.000 0.500
N1 N 0.000 0.000 0.000
```

mass density = 4.859 g/cm³
symmetry = Pm-3m
energy relative to the elements, uncorrected = 2.77 eV per formula unit